## RbPa6S12 (PBE)

Data for a relaxed RbPa6S12 crystal.

Space-group type: R-3m, No. 166
Formation energy (no corrections) (eV/atom): -1.47
Magnetic moment (μB/atom): 0.372

a = 8.190 Å, b = 8.190 Å, c = 8.190 Å
α = 105.60°, β = 105.60°, γ = 105.60°
Sites, in units of the cell vectors:
Rb (0.000, 0.000, 0.000)
Pa (0.254, 0.254, 0.657)
Pa (0.254, 0.657, 0.254)
Pa (0.343, 0.746, 0.746)
Pa (0.657, 0.254, 0.254)
Pa (0.746, 0.343, 0.746)
Pa (0.746, 0.746, 0.343)
S (0.129, 0.500, 0.871)
S (0.129, 0.871, 0.500)
S (0.178, 0.437, 0.437)
S (0.437, 0.178, 0.437)
S (0.437, 0.437, 0.178)
S (0.500, 0.129, 0.871)
S (0.500, 0.871, 0.129)
S (0.563, 0.563, 0.822)
S (0.563, 0.822, 0.563)
S (0.822, 0.563, 0.563)
S (0.871, 0.129, 0.500)
S (0.871, 0.500, 0.129)

=====

## SrCuPb2 (PBE)

Data for a relaxed SrCuPb2 crystal.

Space-group type: Cm, No. 8
DFT formation energy (kJ/mol of formula units): -48
Magnetic moment (μB/atom): 0.000

a = 5.210 Å, b = 5.210 Å, c = 6.264 Å
α = 111.79°, β = 111.79°, γ = 50.29°
Sites, in units of the cell vectors:
Sr (0.000, 0.000, 0.000)
Cu (0.738, 0.738, 0.405)
Pb (0.202, 0.202, 0.661)
Pb (0.411, 0.411, 0.369)

=====

## LaGeC (PBE)

Data for a relaxed LaGeC crystal.

Space-group type: C2/m, No. 12
DFT formation energy (kJ/mol of formula units): -122
Magnetic moment (μB/atom): 0.000

a = 4.138 Å, b = 4.138 Å, c = 8.876 Å
α = 94.02°, β = 94.02°, γ = 58.09°
Sites, in units of the cell vectors:
La (0.143, 0.143, 0.182)
La (0.857, 0.857, 0.818)
Ge (0.171, 0.171, 0.561)
Ge (0.829, 0.829, 0.439)
C (0.430, 0.430, 0.043)
C (0.570, 0.570, 0.957)